<w>
NiI2BrO: relaxed, PBE with a Hubbard U.

Cell: 5.859 5.859 3.987 Å, 90.00 90.00 90.00°
Space group P4/mmm (No. 123)
Symmetry-distinct sites (fractional):
Ni  0.000  0.000  0.000 [1 per cell]
I  0.000  0.500  0.500 [2 per cell]
Br  0.500  0.500  0.500 [1 per cell]
O  0.500  0.500  0.000 [1 per cell]

Calculated values
size of the total moment: 1.0 μB/cell

=====

<x>
NiI2BrO: relaxed, PBE with a Hubbard U.

Cell: 6.093 6.093 3.470 Å, 90.00 90.00 90.00°
Space group P4/mmm (No. 123)
Symmetry-distinct sites (fractional):
Ni  0.000  0.000  0.000 [1 per cell]
I  0.000  0.500  0.000 [2 per cell]
Br  0.500  0.500  0.500 [1 per cell]
O  0.000  0.000  0.500 [1 per cell]

Calculated values
size of the total moment: 2.5 μB/cell

=====

Pick <x>: it beats the second-best structure by 535 meV per atom.